This record from the Alexandria database describes a relaxed NbW2O crystal. The functional is GGA+U.

Results
- mass density (Mg/m³) = 12.95
- VASP energy (eV per atom) = -6.977

a = 7.222 Å, b = 7.222 Å, c = 5.619 Å
α = 50.01°, β = 50.01°, γ = 90.00°
Each line ends with the local moment (μB).
Element x y z (fractional)
Nb: 0.000 0.000 0.000  -0.20
Nb: 0.750 0.250 0.500  -0.20
O: 0.500 0.500 0.000  0.02
O: 0.250 0.750 0.500  0.02
W: 0.521 0.125 0.250  0.37
W: 0.229 0.625 0.250  0.37
W: 0.375 0.479 0.750  0.36
W: 0.875 0.771 0.750  0.36